Compound: ZnAg2Ir
Source: the Alexandria database
Functional: PBE-GGA
Structure: optimized geometry

Computed properties:
DFT formation energy	0.223	eV/atom
D(E_F)	5.6	states/eV per cell

Unit cell a=2.8956 b=4.6933 c=9.4492 alpha=90.00 beta=90.00 gamma=90.00
With the nearest neighbours (Å) after each atom.
Space group Cmmm (No. 65)
One atom of each set of equivalent atoms:
Zn: 0.0000 0.0000 0.0000  4 Ag 2.72, 6 Zn 2.76-2.90
Ag: 0.0000 0.5000 0.2438  2 Zn 2.72, 6 Ag 2.76-2.90, 2 Ir 2.82
Ir: 0.0000 0.0000 0.5000  6 Ir 2.76-2.90, 4 Ag 2.82